Here is an optimized crystal structure of Ac5Sn2Ru from Alexandria via LeMat-Bulk. Energies are from GGA-PBE.

Lattice parameters (Å, degrees): 6.445 13.898 15.532 90.00 90.00 90.00
Space group Cmcm (No. 63)
One atom of each set of equivalent atoms:
Ac  0.000  0.053  0.119 (multiplicity 8)
Ac  0.000  0.299  0.750 (multiplicity 4)
Ac  0.000  0.335  0.108 (multiplicity 8)
Sn  0.000  0.181  0.562 (multiplicity 8)
Ru  0.000  0.189  0.250 (multiplicity 4)

Polymorph energy (0 for the lowest one)   6.84 kcal/mol of atoms



Here is an optimized crystal structure of Ac12Sn3Ru5 from Alexandria via LeMat-Bulk. Energies are from GGA-PBE.

Lattice parameters (Å, degrees): 18.231 18.231 18.231 90.00 90.00 90.00
Space group Ia-3d (No. 230)
One atom of each set of equivalent atoms:
Ac  0.030  0.054  0.650 (multiplicity 96)
Sn  0.000  0.250  0.125 (multiplicity 24)
Ru  0.000  0.000  0.000 (multiplicity 16)
Ru  0.000  0.250  0.375 (multiplicity 24)



Here is an optimized crystal structure of Ac2Sn6Ru from Alexandria via LeMat-Bulk. Energies are from GGA-PBE.

Lattice parameters (Å, degrees): 6.8539 6.8539 5.9740 90.00 90.00 120.00
Space group P-3m1 (No. 164)
One atom of each set of equivalent atoms:
Ac  0.3333  0.6667  0.2976 (multiplicity 2)
Sn  0.1736  0.3471  0.7962 (multiplicity 6)
Ru  0.0000  0.0000  0.5000 (multiplicity 1)

Polymorph energy (0 for the lowest one)   0.00 kcal/mol of atoms



Here is an optimized crystal structure of Ac3Sn4Ru4 from Alexandria via LeMat-Bulk. Energies are from GGA-PBE.

Lattice parameters (Å, degrees): 8.201 8.201 8.201 90.00 90.00 90.00
Space group I-43m (No. 217)
One atom of each set of equivalent atoms:
Ac  0.000  0.000  0.500 (multiplicity 6)
Sn  0.197  0.197  0.197 (multiplicity 8)
Ru  0.119  0.119  0.881 (multiplicity 8)



Here is an optimized crystal structure of AcSn6Ru2 from Alexandria via LeMat-Bulk. Energies are from GGA-PBE.

Lattice parameters (Å, degrees): 5.7148 5.7148 9.4567 90.00 90.00 120.00
Space group P-31m (No. 162)
One atom of each set of equivalent atoms:
Ac  0.0000  0.0000  0.0000 (multiplicity 1)
Sn  0.0000  0.3321  0.7008 (multiplicity 6)
Ru  0.3333  0.6667  0.5000 (multiplicity 2)



Here is an optimized crystal structure of Ac6SnRu from Alexandria via LeMat-Bulk. Energies are from GGA-PBE.

Lattice parameters (Å, degrees): 8.407 11.272 7.152 90.00 103.74 90.00
Space group C2/m (No. 12)
One atom of each set of equivalent atoms:
Ac  0.136  0.179  0.278 (multiplicity 8)
Ac  0.213  0.500  0.147 (multiplicity 4)
Sn  0.000  0.500  0.500 (multiplicity 2)
Ru  0.000  0.000  0.000 (multiplicity 2)



Here is an optimized crystal structure of Ac6SnRu2 from Alexandria via LeMat-Bulk. Energies are from GGA-PBE.

Lattice parameters (Å, degrees): 10.144 10.508 11.413 90.00 90.00 90.00
Space group Immm (No. 71)
One atom of each set of equivalent atoms:
Ac  0.000  0.202  0.233 (multiplicity 8)
Ac  0.185  0.500  0.164 (multiplicity 8)
Ac  0.205  0.324  0.500 (multiplicity 8)
Sn  0.000  0.000  0.000 (multiplicity 2)
Sn  0.000  0.000  0.500 (multiplicity 2)
Ru  0.000  0.313  0.000 (multiplicity 4)
Ru  0.000  0.500  0.364 (multiplicity 4)

Polymorph energy (0 for the lowest one)   0.00 kcal/mol of atoms



Here is an optimized crystal structure of Ac5Sn3Ru from Alexandria via LeMat-Bulk. Energies are from GGA-PBE.

Lattice parameters (Å, degrees): 9.9709 9.9709 7.3812 90.00 90.00 120.00
Space group P6_3/mcm (No. 193)
One atom of each set of equivalent atoms:
Ac  0.0000  0.2345  0.2500 (multiplicity 6)
Ac  0.3333  0.6667  0.0000 (multiplicity 4)
Sn  0.0000  0.4080  0.7500 (multiplicity 6)
Ru  0.0000  0.0000  0.0000 (multiplicity 2)



Here is an optimized crystal structure of Ac2Sn5Ru3 from Alexandria via LeMat-Bulk. Energies are from GGA-PBE.

Lattice parameters (Å, degrees): 10.892 13.632 6.384 90.00 90.00 90.00
Space group Ibam (No. 72)
One atom of each set of equivalent atoms:
Ac  0.225  0.147  0.000 (multiplicity 8)
Sn  0.000  0.000  0.250 (multiplicity 4)
Sn  0.000  0.290  0.250 (multiplicity 8)
Sn  0.175  0.418  0.000 (multiplicity 8)
Ru  0.000  0.500  0.250 (multiplicity 4)
Ru  0.094  0.146  0.500 (multiplicity 8)



| no. | formation energy (eV per atom) | M_tot (μB/cell) |
| --- | --- | --- |
| 1 | -0.209 | 0.0 |
| 2 | -0.174 | 0.0 |
| 3 | -0.456 | 0.0 |
| 4 | -0.408 | 0.0 |
| 5 | 0.033 | 0.0 |
| 6 | -0.156 | 0.0 |
| 7 | -0.279 | 0.0 |
| 8 | -0.520 | 0.0 |
| 9 | -0.439 | 0.0 |